First-principles (PBE-GGA) data for a geometry-optimized CdTeRh2 structure, as listed in Alexandria.

Cell: 4.4914 5.3047 5.3047 Å, 35.37 90.00 90.00°
Element x y z (fractional)
Cd: 0.0000 0.0000 0.0000
Te: 0.5000 0.2682 0.2682
Rh: 0.0000 0.7309 0.7309
Rh: 0.5000 0.5471 0.5471

- space group = Amm2
- M_tot (μB per atom) = 0.00
- VASP energy (eV per atom) = -4.766
- formation energy (no corrections) (eV per atom) = -0.076

---

First-principles (PBE-GGA) data for a geometry-optimized Tb3Hg2Pd3 structure, as listed in Alexandria.

Cell: 8.5119 8.5119 5.8500 Å, 90.00 90.00 120.00°
Element x y z (fractional)
Tb: 0.0000 0.2819 0.2500
Tb: 0.0000 0.7181 0.7500
Tb: 0.2819 0.0000 0.2500
Tb: 0.2819 0.2819 0.7500
Tb: 0.7181 0.0000 0.7500
Tb: 0.7181 0.7181 0.2500
Hg: 0.3333 0.6667 0.0000
Hg: 0.3333 0.6667 0.5000
Hg: 0.6667 0.3333 0.0000
Hg: 0.6667 0.3333 0.5000
Pd: 0.0000 0.3752 0.7500
Pd: 0.0000 0.6248 0.2500
Pd: 0.3752 0.0000 0.7500
Pd: 0.3752 0.3752 0.2500
Pd: 0.6248 0.0000 0.2500
Pd: 0.6248 0.6248 0.7500

- space group = P6_3/mcm
- M_tot (μB per atom) = 0.00
- VASP energy (eV per atom) = -4.403